{
  "formula": "Li2TlBr",
  "functional": "PBE",
  "state": "optimized geometry",
  "sg": "Cmmm",
  "relative_energy_ev_per_fu": 0.20,
  "formation_energy_uncorrected_kj_per_mol_atoms": -65,
  "lattice_angstrom": [[1.8664, -3.0299, 0.0000], [1.8664, 3.0299, 0.0000], [0.0000, 0.0000, 8.3736]],
  "species": ["Li", "Li", "Tl", "Br"],
  "frac_coords": [[0.0000, 0.0000, 0.2078], [0.0000, 0.0000, 0.7922], [0.5000, 0.5000, 0.5000], [0.5000, 0.5000, 0.0000]]
}